SiAsP: optimized geometry, PBE.

The structure in POSCAR format:
```
SiAsP
1.0
-0.505 -4.579 -1.146
3.408 1.327 3.027
-1.616 -0.311 1.956
As P Si
1 1 1
Direct
0.000 0.000 0.667
0.667 0.333 0.667
0.333 0.667 0.666
```

Values from the calculation:
Theoretical density, Mg/m³: 4.5
Energy above the lowest structure with this stoichiometry, meV/atom: 352
Symmetry: P-6m2 (187)
Energy relative to the elements, uncorrected, meV per atom: 404
Size of the total moment, Bohr magnetons per cell: 0.00
DOS(E_F), states/eV per cell: 1.17